Entry from Alexandria: a relaxed structure of Rb3In2I5 (GGA-PBE).

```
Rb3In2I5
1.0
8.5401 -2.5901 0.0000
8.5401 2.5901 0.0000
-6.1340 0.0000 10.9771
Rb In I
3 2 5
Cartesian
0.0000 0.0000 0.0000
-1.3878 0.0000 8.7155
12.3341 0.0000 2.2616
3.2243 0.0000 6.5529
7.7220 0.0000 4.4242
-3.0670 0.0000 5.4885
1.4082 0.0000 3.4435
6.2055 0.0000 1.1914
4.7408 0.0000 9.7857
9.5381 0.0000 7.5336
```

Calculated values
Its density of states at the Fermi level is 0.000 states/eV/cell. Its uncorrected formation energy is -1.0741 eV per atom. As for the total magnetization: 0.000 μB per atom. Its mass density is 3.83 g/cm³. For the total energy, the calculation gives -26.87 eV/cell.

---

Entry from Alexandria: a relaxed structure of RbIn3I (GGA-PBE).

```
RbIn3I
1.0
6.3963 0.0000 0.0000
0.0000 6.3963 0.0000
0.0000 0.0000 6.3963
Rb In I
1 3 1
Cartesian
0.0000 0.0000 0.0000
0.0000 3.1982 3.1982
3.1982 0.0000 3.1982
3.1982 3.1982 0.0000
3.1982 3.1982 3.1982
```

Calculated values
Its density of states at the Fermi level is 2.982 states/eV/cell. The distance to the lowest polymorph of the same formula comes out at 0 kJ/mol of formula units. Its uncorrected formation energy is 0.1661 eV per atom. As for the total magnetization: 0.000 μB per atom. Its mass density is 3.53 g/cm³. For the total energy, the calculation gives -9.90 eV/cell.

---

Entry from Alexandria: a relaxed structure of RbIn2I6 (GGA-PBE).

```
RbIn2I6
1.0
8.0638 -3.2174 0.0000
8.0638 3.2174 0.0000
-2.6555 0.0000 10.0078
Rb In I
1 2 6
Cartesian
0.0000 0.0000 0.0000
2.2764 0.0000 6.5610
11.1957 0.0000 3.4469
-0.4633 0.0000 7.0093
2.8410 0.0000 3.6292
4.2328 0.0000 8.6445
9.2393 0.0000 1.3633
10.6311 0.0000 6.3786
13.9354 0.0000 2.9985
```

Calculated values
Its density of states at the Fermi level is 2.474 states/eV/cell. The distance to the lowest polymorph of the same formula comes out at 28 kJ/mol of formula units. Its uncorrected formation energy is -0.6378 eV per atom. As for the total magnetization: 0.000 μB per atom. Its mass density is 3.44 g/cm³. For the total energy, the calculation gives -21.49 eV/cell.

---

Entry from Alexandria: a relaxed structure of RbIn3I (GGA-PBE).

```
RbIn3I
1.0
6.6163 0.0000 0.0000
0.0000 6.6163 0.0000
0.0000 0.0000 6.6163
Rb In I
1 3 1
Cartesian
0.0000 0.0000 0.0000
0.0000 0.0000 3.3082
0.0000 3.3082 0.0000
3.3082 0.0000 0.0000
3.3082 3.3082 3.3082
```

Calculated values
Its density of states at the Fermi level is 2.819 states/eV/cell. The distance to the lowest polymorph of the same formula comes out at 229 kJ/mol of formula units. Its uncorrected formation energy is 0.6405 eV per atom. As for the total magnetization: 0.000 μB per atom. Its mass density is 3.19 g/cm³. For the total energy, the calculation gives -7.53 eV/cell.

---

Entry from Alexandria: a relaxed structure of Rb2InI5 (GGA-PBE).

```
Rb2InI5
1.0
-4.4587 4.4587 5.1612
4.4587 -4.4587 5.1612
4.4587 4.4587 -5.1612
Rb In I
2 1 5
Cartesian
4.4587 0.0000 0.0000
0.0000 4.4587 0.0000
0.0000 0.0000 3.0600
2.4452 2.4452 -2.7010
2.0135 -2.0135 2.4602
-2.0135 2.0135 2.4602
2.0135 2.0135 2.4602
0.0000 0.0000 5.8311
```

Calculated values
The distance to the lowest polymorph of the same formula comes out at 0 kJ/mol of formula units. Its uncorrected formation energy is -0.9818 eV per atom. As for the total magnetization: 0.000 μB per atom. Its mass density is 3.72 g/cm³. For the total energy, the calculation gives -20.28 eV/cell.

---

Entry from Alexandria: a relaxed structure of Rb2InI5 (GGA-PBE).

```
Rb2InI5
1.0
13.8717 0.0000 0.0000
0.0000 15.4172 0.0000
0.0000 0.0000 10.3077
Rb In I
8 4 20
Cartesian
0.0000 0.0000 2.3767
0.0000 0.0000 7.9310
1.6656 4.9874 0.0000
5.2702 12.6960 5.1538
6.9359 7.7086 2.7771
6.9359 7.7086 7.5306
8.6015 2.7212 5.1538
12.2061 10.4298 0.0000
3.4153 11.1571 0.0000
3.5205 3.4485 5.1538
10.3512 11.9687 5.1538
10.4564 4.2601 0.0000
0.8699 2.6635 5.1538
1.7734 8.9101 0.0000
2.0050 1.5824 0.0000
2.8256 12.6488 2.2483
2.8256 12.6488 8.0594
4.1102 4.9402 2.9056
4.1102 4.9402 7.4021
4.9308 9.2910 5.1538
5.1625 1.2014 5.1538
6.0660 10.3721 0.0000
7.8057 5.0451 0.0000
8.7092 14.2158 5.1538
8.9409 6.1262 5.1538
9.7615 10.4770 2.9056
9.7615 10.4770 7.4021
11.0461 2.7684 2.2483
11.0461 2.7684 8.0594
11.8667 13.8348 0.0000
12.0983 6.5072 0.0000
13.0018 12.7537 5.1538
```

Calculated values
The distance to the lowest polymorph of the same formula comes out at 16 kJ/mol of formula units. Its uncorrected formation energy is -0.9611 eV per atom. As for the total magnetization: 0.019 μB per atom. Its mass density is 2.77 g/cm³. For the total energy, the calculation gives -80.45 eV/cell.

---

Entry from Alexandria: a relaxed structure of RbIn2I6 (GGA-PBE).

```
RbIn2I6
1.0
8.6521 -7.3251 0.0000
8.6521 7.3251 0.0000
-3.8365 0.0000 8.5845
Rb In I
2 4 12
Cartesian
5.7747 5.2661 6.4383
7.6929 -5.2661 2.1461
1.8251 1.3476 6.8583
3.7434 -1.3476 2.5661
9.7242 1.3476 6.0183
11.6425 -1.3476 1.7261
-0.7424 1.0693 5.7705
2.3698 4.0694 7.1549
1.1759 -1.0693 1.4783
3.8074 0.0779 5.1163
5.7257 -0.0779 0.8241
9.1795 4.0694 5.7218
4.2881 -4.0694 2.8627
7.7419 0.0779 7.7604
9.6602 -0.0779 3.4681
12.2917 1.0693 7.1062
11.0978 -4.0694 1.4296
14.2100 -1.0693 2.8140
```

Calculated values
Its density of states at the Fermi level is 6.549 states/eV/cell. The distance to the lowest polymorph of the same formula comes out at 0 kJ/mol of formula units. Its uncorrected formation energy is -0.6699 eV per atom. As for the total magnetization: 0.000 μB per atom. Its mass density is 3.29 g/cm³. For the total energy, the calculation gives -43.55 eV/cell.

---

Entry from Alexandria: a relaxed structure of Rb2In2I5 (GGA-PBE).

```
Rb2In2I5
1.0
13.2217 -4.2212 0.0000
13.2217 4.2212 0.0000
-2.9743 0.0000 8.4312
Rb In I
4 4 10
Cartesian
2.5739 0.0000 0.6231
9.2901 0.1248 3.1660
14.1791 0.1248 5.2652
20.8952 0.0000 7.8081
11.7346 4.1925 4.2156
4.5816 0.4915 5.9159
13.2217 -0.0467 0.0000
18.8875 0.4915 2.5153
1.4017 -0.1700 5.8152
10.5630 2.0518 6.3167
12.9061 2.0518 2.1145
5.5651 -0.4401 2.9457
7.2767 -0.0551 7.9429
16.1924 -0.0551 0.4883
10.5662 -2.1038 6.2793
12.9030 -2.1038 2.1519
17.9041 -0.4401 5.4855
22.0675 -0.1700 2.6160
```

Calculated values
Its density of states at the Fermi level is 1.258 states/eV/cell. Its uncorrected formation energy is -0.9044 eV per atom. As for the total magnetization: 0.000 μB per atom. Its mass density is 3.65 g/cm³. For the total energy, the calculation gives -46.60 eV/cell.

---

Entry from Alexandria: a relaxed structure of Rb5InI5 (GGA-PBE).

```
Rb5InI5
1.0
8.2881 -3.6902 0.0000
8.2881 3.6902 0.0000
-3.3253 0.0000 9.8980
Rb In I
5 1 5
Cartesian
0.0000 0.0000 0.0000
4.9420 0.0000 1.6668
3.3476 0.0000 6.6227
9.9033 0.0000 3.2753
8.3089 0.0000 8.2312
-1.6626 0.0000 4.9490
1.5479 0.0000 3.3516
-0.0344 0.0000 8.1676
6.6255 0.0000 4.9490
13.2854 0.0000 1.7304
11.7030 0.0000 6.5464
```

Calculated values
Its density of states at the Fermi level is 2.346 states/eV/cell. Its uncorrected formation energy is -1.1323 eV per atom. As for the total magnetization: 0.074 μB per atom. Its mass density is 3.23 g/cm³. For the total energy, the calculation gives -27.78 eV/cell.

---

Entry from Alexandria: a relaxed structure of Rb3InI6 (GGA-PBE).

```
Rb3InI6
1.0
7.2513 4.1865 5.8720
-7.2513 4.1865 5.8720
0.0000 -8.3731 5.8720
Rb In I
6 2 12
Cartesian
-4.8815 -1.4567 8.1615
-1.1792 -4.9559 9.4545
-3.7023 3.4992 9.4545
3.7023 -3.4992 8.1615
1.1792 4.9559 8.1615
4.8815 1.4567 9.4545
0.0000 0.0000 0.0000
0.0000 0.0000 8.8080
-4.8670 -4.6566 10.0257
-6.4662 1.8866 7.5903
-1.3493 -2.0456 7.1079
1.5992 -6.5432 7.5903
-1.0969 2.1913 7.1079
-2.4462 0.1457 10.5081
2.4462 -0.1457 7.1079
1.0969 -2.1914 10.5081
-1.5992 6.5433 10.0257
1.3493 2.0456 10.5081
6.4662 -1.8866 10.0257
4.8670 4.6566 7.5903
```

Calculated values
Its density of states at the Fermi level is 0.000 states/eV/cell. The distance to the lowest polymorph of the same formula comes out at 0 kJ/mol of formula units. Its uncorrected formation energy is -1.0805 eV per atom. As for the total magnetization: 0.000 μB per atom. Its mass density is 3.52 g/cm³. For the total energy, the calculation gives -51.49 eV/cell.

---

Please write out number 9 again, unchanged.
Entry from Alexandria: a relaxed structure of Rb5InI5 (GGA-PBE).

```
Rb5InI5
1.0
8.2881 -3.6902 0.0000
8.2881 3.6902 0.0000
-3.3253 0.0000 9.8980
Rb In I
5 1 5
Cartesian
0.0000 0.0000 0.0000
4.9420 0.0000 1.6668
3.3476 0.0000 6.6227
9.9033 0.0000 3.2753
8.3089 0.0000 8.2312
-1.6626 0.0000 4.9490
1.5479 0.0000 3.3516
-0.0344 0.0000 8.1676
6.6255 0.0000 4.9490
13.2854 0.0000 1.7304
11.7030 0.0000 6.5464
```

Calculated values
Its density of states at the Fermi level is 2.346 states/eV/cell. Its uncorrected formation energy is -1.1323 eV per atom. As for the total magnetization: 0.074 μB per atom. Its mass density is 3.23 g/cm³. For the total energy, the calculation gives -27.78 eV/cell.